# PBE CdRhPb2, relaxed
# Energy: -3.85 eV per atom
# Formation energy from the elements: 0.29 eV per formula unit
data_CdRhPb2
_symmetry_space_group_name_H-M 'R 3 m'
_symmetry_Int_Tables_number 160
_symmetry_space_group_name_Hall 'R 3 -2"'
_cell_length_a 4.6769
_cell_length_b 4.6769
_cell_length_c 15.9915
_cell_angle_alpha 90.00
_cell_angle_beta 90.00
_cell_angle_gamma 120.00
loop_
_atom_site_label
_atom_site_type_symbol
_atom_site_fract_x
_atom_site_fract_y
_atom_site_fract_z
_atom_site_occupancy
Cd1 Cd 0.0000 0.0000 0.0000 1
Rh1 Rh 0.0000 0.0000 0.1744 1
Pb1 Pb 0.0000 0.0000 0.5660 1
Pb2 Pb 0.0000 0.0000 0.7772 1